Entry 1:
PBE Ba3Ir, optimized geometry; calculated volume = 175.2 Å³ per cell; energy = -14.4 eV/cell
1.0
-1.489 -3.503 -0.986
3.507 -1.097 -1.399
2.802 -4.063 10.208
Ir Ba
1 3
Direct
0.500 0.500 0.750
0.000 0.000 0.905
0.500 0.500 0.250
0.000 0.000 0.595

=====

Entry 2:
PBE Ba3Ir, optimized geometry; calculated volume = 407.1 Å³ per cell; energy = -30.3 eV/cell
1.0
7.677 0.000 0.000
0.000 6.777 -3.912
0.000 0.000 7.825
Ba Ir
6 2
Direct
0.750 0.693 0.000
0.250 0.307 0.000
0.750 0.307 0.307
0.250 0.000 0.307
0.250 0.693 0.693
0.750 0.000 0.693
0.000 0.000 0.000
0.500 0.000 0.000

=====

Entry 3:
PBE Ba3Ir2, optimized geometry; calculated volume = 184.9 Å³ per cell; energy = -22.6 eV/cell
1.0
-2.738 -6.131 -7.228
-5.336 -7.520 -3.506
-6.731 -3.813 -6.122
Ba Ir
3 2
Direct
0.000 0.000 0.000
0.224 0.224 0.224
0.776 0.776 0.776
0.599 0.599 0.599
0.401 0.401 0.401

=====

Entry 4:
PBE BaIr, optimized geometry; calculated volume = 195.9 Å³ per cell; energy = -31.7 eV/cell
1.0
4.593 -3.461 2.625
6.037 -1.665 -0.866
3.405 5.714 4.349
Ba Ir
3 3
Direct
0.897 0.897 0.950
0.615 0.615 0.230
0.673 0.673 0.651
0.409 0.409 0.608
0.908 0.908 0.421
0.332 0.332 0.307

=====

Entry 5:
PBE BaIr5, optimized geometry; calculated volume = 107.5 Å³ per cell; energy = -42.4 eV/cell
1.0
2.059 -6.386 0.000
2.059 6.386 0.000
0.000 0.000 4.088
Ba Ir
1 5
Direct
0.500 0.500 0.000
0.315 0.685 0.500
0.184 0.816 0.000
0.000 0.000 0.500
0.816 0.184 0.000
0.685 0.315 0.500

=====

Entry 6:
PBE BaIr, optimized geometry; calculated volume = 632.0 Å³ per cell; energy = -87.2 eV/cell
1.0
-9.746 1.137 -6.564
-5.903 -6.864 7.576
-1.186 3.664 2.395
Ba Ir
8 8
Direct
0.242 0.500 0.000
0.758 0.500 0.000
0.500 0.758 0.000
0.500 0.242 0.000
0.742 0.000 0.500
0.258 0.000 0.500
0.000 0.258 0.500
0.000 0.742 0.500
0.773 0.773 0.000
0.773 0.227 0.000
0.227 0.773 0.000
0.227 0.227 0.000
0.273 0.273 0.500
0.273 0.727 0.500
0.727 0.273 0.500
0.727 0.727 0.500

=====

Entry 7:
PBE Ba4Ir3, optimized geometry; calculated volume = 191.6 Å³ per cell; energy = -31.7 eV/cell
1.0
2.868 -4.967 0.000
2.868 4.967 0.000
0.000 0.000 6.726
Ba Ir
4 3
Direct
0.000 0.000 0.230
0.000 0.000 0.770
0.667 0.333 0.500
0.333 0.667 0.500
0.000 0.500 0.000
0.500 0.500 0.000
0.500 0.000 0.000

=====

Entry 8:
PBE Ba2Ir, optimized geometry; calculated volume = 111.5 Å³ per cell; energy = -12.4 eV/cell
1.0
-3.125 -2.621 -3.541
4.032 0.046 -3.593
1.255 -3.341 1.365
Ir Ba
1 2
Direct
0.000 0.000 0.000
0.000 0.500 0.500
0.500 0.000 0.500

=====

Entry 9:
PBE BaIr, optimized geometry; calculated volume = 105.5 Å³ per cell; energy = -19.2 eV/cell
1.0
-5.634 1.077 -1.819
-0.847 -0.147 -5.955
2.583 -3.614 4.058
Ir Ba
2 2
Direct
0.500 0.500 0.000
0.750 0.250 0.500
0.000 0.000 0.000
0.250 0.750 0.500

=====

Entry 10:
PBE BaIr3, optimized geometry; calculated volume = 80.7 Å³ per cell; energy = -26.8 eV/cell
1.0
2.900 0.000 0.000
0.000 3.647 0.000
0.000 0.000 7.635
Ir Ba
3 1
Direct
0.500 0.500 0.676
0.000 0.000 0.500
0.500 0.500 0.324
0.000 0.000 0.000

=====

Entry 11:
PBE Ba2Ir, optimized geometry; calculated volume = 89.3 Å³ per cell; energy = -11.1 eV/cell
1.0
2.727 -4.724 0.000
2.727 4.724 0.000
0.000 0.000 3.466
Ba Ir
2 1
Direct
0.667 0.333 0.000
0.333 0.667 0.000
0.000 0.000 0.500

=====

Entry 12:
PBE BaIr3, optimized geometry; calculated volume = 76.9 Å³ per cell; energy = -24.8 eV/cell
1.0
-1.196 4.072 -2.867
-4.595 0.234 2.249
1.098 1.773 2.060
Ir Ba
3 1
Direct
0.500 0.000 0.500
0.500 0.500 0.000
0.000 0.500 0.500
0.000 0.000 0.000

=====

Entry 13:
PBE Ba2Ir, optimized geometry; calculated volume = 108.3 Å³ per cell; energy = -13.0 eV/cell
1.0
-3.911 2.226 -2.894
0.313 0.037 -5.341
-3.276 -3.086 -2.893
Ba Ir
2 1
Direct
0.250 0.250 0.250
0.750 0.750 0.750
0.000 0.000 0.000

=====

Entry 14:
PBE BaIr, optimized geometry; calculated volume = 126.2 Å³ per cell; energy = -20.7 eV/cell
1.0
-1.553 2.596 2.042
-3.262 -0.850 -1.400
-1.350 -6.282 6.959
Ir Ba
2 2
Direct
0.000 0.000 0.595
0.500 0.500 0.655
0.000 0.000 0.907
0.500 0.500 0.343

=====

Entry 15:
PBE BaIr3, optimized geometry; calculated volume = 148.2 Å³ per cell; energy = -13.9 eV/cell
1.0
5.292 0.000 0.000
0.000 5.292 0.000
0.000 0.000 5.292
Ir Ba
3 1
Direct
0.500 0.000 0.000
0.000 0.500 0.000
0.000 0.000 0.500
0.000 0.000 0.000

=====

Entry 16:
PBE K2BaIr2, optimized geometry; calculated volume = 264.5 Å³ per cell; relative energy among the computed polymorphs = 0.00 kcal/mol of atoms
1.0
9.527 0.000 0.000
0.000 9.527 0.000
0.000 0.000 2.914
K Ir Ba
4 4 2
Direct
0.389 0.889 0.000
0.889 0.611 0.000
0.611 0.111 0.000
0.111 0.389 0.000
0.189 0.689 0.500
0.689 0.811 0.500
0.811 0.311 0.500
0.311 0.189 0.500
0.000 0.000 0.000
0.500 0.500 0.000

=====

Entry 17:
PBE KBa6Ir, optimized geometry; calculated volume = 948.5 Å³ per cell; energy = -44.7 eV/cell
1.0
7.894 0.000 0.000
-3.947 7.669 -1.640
0.000 0.157 15.636
K Ba Ir
2 12 2
Direct
0.410 0.000 0.250
0.590 0.000 0.750
0.992 0.165 0.397
0.173 0.165 0.897
0.130 0.430 0.667
0.300 0.430 0.167
0.008 0.835 0.603
0.827 0.835 0.103
0.583 0.296 0.536
0.713 0.296 0.036
0.870 0.570 0.333
0.700 0.570 0.833
0.417 0.704 0.464
0.287 0.704 0.964
0.000 0.500 0.500
0.500 0.500 0.000

=====

Entry 18:
PBE KBa2Ir2, optimized geometry; calculated volume = 336.5 Å³ per cell; energy = -42.7 eV/cell
1.0
-6.766 3.828 -3.590
-3.673 0.729 7.701
2.009 4.086 0.571
K Ir Ba
2 4 4
Direct
0.000 0.000 0.000
0.500 0.500 0.000
0.398 0.898 0.000
0.898 0.602 0.000
0.602 0.102 0.000
0.102 0.398 0.000
0.167 0.667 0.500
0.667 0.833 0.500
0.833 0.333 0.500
0.333 0.167 0.500

=====

Entry 19:
PBE K3Ba4Ir, optimized geometry; calculated volume = 2142.4 Å³ per cell; energy = -76.4 eV/cell
1.0
9.232 0.000 0.000
0.000 9.148 0.000
0.000 0.000 25.366
K Ir Ba
12 4 16
Direct
0.490 0.750 0.006
0.244 0.004 0.131
0.244 0.496 0.131
0.744 0.504 0.369
0.744 0.996 0.369
0.990 0.250 0.494
0.010 0.750 0.506
0.256 0.004 0.631
0.256 0.496 0.631
0.756 0.504 0.869
0.756 0.996 0.869
0.510 0.250 0.994
0.969 0.250 0.129
0.469 0.750 0.371
0.531 0.250 0.629
0.031 0.750 0.871
0.010 0.250 0.012
0.764 0.491 0.129
0.764 0.009 0.129
0.006 0.250 0.244
0.506 0.750 0.256
0.264 0.991 0.371
0.264 0.509 0.371
0.510 0.750 0.488
0.490 0.250 0.512
0.736 0.491 0.629
0.736 0.009 0.629
0.494 0.250 0.744
0.994 0.750 0.756
0.236 0.991 0.871
0.236 0.509 0.871
0.990 0.750 0.988

=====

Entry 20:
PBE K4BaIr, optimized geometry; calculated volume = 256.1 Å³ per cell; energy = -10.3 eV/cell
1.0
5.278 0.115 4.790
-0.222 -4.338 5.652
4.520 -5.493 0.456
K Ba Ir
4 1 1
Direct
0.886 0.371 0.371
0.371 0.371 0.886
0.371 0.886 0.371
0.371 0.371 0.371
0.750 0.750 0.750
0.000 0.000 0.000

=====

Entry 21:
PBE KBa5Ir, optimized geometry; calculated volume = 900.1 Å³ per cell; energy = -38.7 eV/cell
1.0
-1.851 -1.941 10.349
8.268 -6.643 -1.346
9.102 1.145 5.484
K Ba Ir
2 10 2
Direct
0.393 0.643 0.250
0.607 0.357 0.750
0.000 0.715 0.285
0.779 0.210 0.431
0.500 0.715 0.785
0.689 0.939 0.250
0.141 0.210 0.069
0.859 0.790 0.931
0.311 0.061 0.750
0.500 0.285 0.215
0.221 0.790 0.569
0.000 0.285 0.715
0.000 0.000 0.000
0.500 0.000 0.500

=====

Entry 22:
PBE K2Ba3Ir, optimized geometry; calculated volume = 671.5 Å³ per cell; energy = -33.3 eV/cell
1.0
9.363 0.000 0.000
0.000 8.342 -1.920
0.000 0.165 8.559
K Ba Ir
4 6 2
Direct
0.250 0.831 0.559
0.750 0.169 0.441
0.750 0.441 0.169
0.250 0.559 0.831
0.750 0.716 0.716
0.250 0.284 0.284
0.500 0.150 0.850
0.000 0.150 0.850
0.500 0.850 0.150
0.000 0.850 0.150
0.250 0.007 0.007
0.750 0.993 0.993

=====

Entry 23:
PBE KBaIr4, optimized geometry; calculated volume = 120.5 Å³ per cell; energy = -36.8 eV/cell
1.0
0.000 3.920 3.920
3.920 0.000 3.920
3.920 3.920 0.000
K Ba Ir
1 1 4
Direct
0.750 0.750 0.750
0.000 0.000 0.000
0.874 0.375 0.375
0.375 0.375 0.874
0.375 0.874 0.375
0.375 0.375 0.375

=====

Entry 24:
PBE K2BaIr2, optimized geometry; calculated volume = 149.8 Å³ per cell; relative energy among the computed polymorphs = 6.00 kcal/mol of atoms
1.0
-4.154 1.129 -3.192
1.701 -3.672 -3.513
-4.074 -4.907 -0.932
K Ir Ba
2 2 1
Direct
0.367 0.367 0.266
0.633 0.633 0.734
0.750 0.250 0.500
0.250 0.750 0.500
0.000 0.000 0.000

=====

Entry 25:
PBE KBaLa2Ir, optimized geometry; calculated volume = 214.6 Å³ per cell; relative energy among the computed polymorphs = 0.00 kcal/mol of atoms
1.0
-3.710 -0.622 -4.285
4.097 -2.331 -3.209
-1.623 -5.981 2.273
K Ir Ba La
1 1 1 2
Direct
0.500 0.500 0.500
0.000 0.000 0.000
0.000 0.000 0.500
0.000 0.500 0.000
0.500 0.000 0.000